A plane-wave DFT calculation with PBE-GGA was carried out for CoBiPtW2 after structural relaxation.

Geometry as CIF:
```
data_CoBiPtW2
_chemical_formula_sum 'Co1 Bi1 Pt1 W2'
_cell_length_a 4.8689
_cell_length_b 4.6850
_cell_length_c 4.8689
_cell_angle_alpha 90.00
_cell_angle_beta 90.00
_cell_angle_gamma 90.00
_symmetry_space_group_name_H-M 'P 1'
_symmetry_Int_Tables_number 1
loop_
_symmetry_equiv_pos_as_xyz
'x,y,z'
loop_
_atom_site_label
_atom_site_type_symbol
_atom_site_fract_x
_atom_site_fract_y
_atom_site_fract_z
_atom_site_occupancy
Bi1 Bi 0.5000 0.5000 0.5000 1
Co1 Co 0.0000 0.5000 0.0000 1
W1 W 0.0000 0.0000 0.5000 1
W2 W 0.5000 0.0000 0.0000 1
Pt1 Pt 0.0000 0.0000 0.0000 1
```

SG = No. 123
Formation enthalpy at 0 K = 1.633 eV per atom
Magnetization = 3.92 μB/cell

=====

A plane-wave DFT calculation with PBE-GGA was carried out for LiHf2Tl2Se6 after structural relaxation.

Geometry as CIF:
```
data_LiHf2Tl2Se6
_chemical_formula_sum 'Li1 Hf2 Tl2 Se6'
_cell_length_a 6.7923
_cell_length_b 6.7923
_cell_length_c 7.9192
_cell_angle_alpha 98.19
_cell_angle_beta 98.19
_cell_angle_gamma 120.40
_symmetry_space_group_name_H-M 'P 1'
_symmetry_Int_Tables_number 1
loop_
_symmetry_equiv_pos_as_xyz
'x,y,z'
loop_
_atom_site_label
_atom_site_type_symbol
_atom_site_fract_x
_atom_site_fract_y
_atom_site_fract_z
_atom_site_occupancy
Se1 Se 0.5863 0.9342 0.2989 1
Se2 Se 0.7201 0.7201 0.6942 1
Se3 Se 0.2799 0.2799 0.3058 1
Se4 Se 0.9342 0.5863 0.2989 1
Se5 Se 0.4137 0.0658 0.7011 1
Se6 Se 0.0658 0.4137 0.7011 1
Hf1 Hf 0.3320 0.6680 0.5000 1
Hf2 Hf 0.6680 0.3320 0.5000 1
Tl1 Tl 0.1630 0.8370 0.0000 1
Tl2 Tl 0.8370 0.1630 0.0000 1
Li1 Li 0.0000 0.0000 0.5000 1
```

SG = No. 12
VASP energy = -5.311 eV per atom
Magnetization = 0.00 μB/cell

=====

A plane-wave DFT calculation with PBE-GGA was carried out for Na2ScPbO after structural relaxation.

Geometry as CIF:
```
data_Na2ScPbO
_chemical_formula_sum 'Na2 Sc1 Pb1 O1'
_cell_length_a 4.9538
_cell_length_b 4.9538
_cell_length_c 4.1209
_cell_angle_alpha 90.00
_cell_angle_beta 90.00
_cell_angle_gamma 90.00
_symmetry_space_group_name_H-M 'P 1'
_symmetry_Int_Tables_number 1
loop_
_symmetry_equiv_pos_as_xyz
'x,y,z'
loop_
_atom_site_label
_atom_site_type_symbol
_atom_site_fract_x
_atom_site_fract_y
_atom_site_fract_z
_atom_site_occupancy
Pb1 Pb 0.5000 0.5000 0.5000 1
O1 O 0.0000 0.0000 0.0000 1
Na1 Na 0.5000 0.0000 0.0000 1
Na2 Na 0.0000 0.5000 0.0000 1
Sc1 Sc 0.0000 0.0000 0.5000 1
```

SG = No. 123
VASP energy = -4.632 eV per atom
Magnetization = 0.00 μB/cell

=====

A plane-wave DFT calculation with PBE-GGA was carried out for GaHRh3 after structural relaxation.

Geometry as CIF:
```
data_GaHRh3
_chemical_formula_sum 'Ga2 H2 Rh6'
_cell_length_a 5.1036
_cell_length_b 5.1036
_cell_length_c 6.1620
_cell_angle_alpha 65.54
_cell_angle_beta 65.54
_cell_angle_gamma 90.00
_symmetry_space_group_name_H-M 'P 1'
_symmetry_Int_Tables_number 1
loop_
_symmetry_equiv_pos_as_xyz
'x,y,z'
loop_
_atom_site_label
_atom_site_type_symbol
_atom_site_fract_x
_atom_site_fract_y
_atom_site_fract_z
_atom_site_occupancy
Ga1 Ga 0.9011 0.4011 0.1978 1
Ga2 Ga 0.5989 0.0989 0.8022 1
Rh1 Rh 0.3679 0.3679 0.2642 1
Rh2 Rh 0.1264 0.8789 0.7471 1
Rh3 Rh 0.1211 0.8736 0.2529 1
Rh4 Rh 0.6261 0.8736 0.2529 1
Rh5 Rh 0.1264 0.3739 0.7471 1
Rh6 Rh 0.6321 0.6321 0.7358 1
H1 H 0.2500 0.7500 0.5000 1
H2 H 0.0000 0.0000 0.0000 1
```

SG = No. 119
VASP energy = -5.620 eV per atom
Magnetization = 0.00 μB/cell

=====

A plane-wave DFT calculation with PBE-GGA was carried out for TiAg2IrSe after structural relaxation.

Geometry as CIF:
```
data_TiAg2IrSe
_chemical_formula_sum 'Ti1 Ag2 Ir1 Se1'
_cell_length_a 5.1172
_cell_length_b 4.5371
_cell_length_c 5.1172
_cell_angle_alpha 90.00
_cell_angle_beta 90.00
_cell_angle_gamma 90.00
_symmetry_space_group_name_H-M 'P 1'
_symmetry_Int_Tables_number 1
loop_
_symmetry_equiv_pos_as_xyz
'x,y,z'
loop_
_atom_site_label
_atom_site_type_symbol
_atom_site_fract_x
_atom_site_fract_y
_atom_site_fract_z
_atom_site_occupancy
Ir1 Ir 0.0000 0.0000 0.0000 1
Se1 Se 0.5000 0.5000 0.5000 1
Ag1 Ag 0.0000 0.0000 0.5000 1
Ag2 Ag 0.5000 0.0000 0.0000 1
Ti1 Ti 0.0000 0.5000 0.0000 1
```

SG = No. 123
VASP energy = -4.519 eV per atom
Magnetization = 0.00 μB/cell

=====

A plane-wave DFT calculation with PBE-GGA was carried out for HgBi12Pt4 after structural relaxation.

Geometry as CIF:
```
data_HgBi12Pt4
_chemical_formula_sum 'Hg1 Bi12 Pt4'
_cell_length_a 8.6567
_cell_length_b 8.6567
_cell_length_c 8.6567
_cell_angle_alpha 109.47
_cell_angle_beta 109.47
_cell_angle_gamma 109.47
_symmetry_space_group_name_H-M 'P 1'
_symmetry_Int_Tables_number 1
loop_
_symmetry_equiv_pos_as_xyz
'x,y,z'
loop_
_atom_site_label
_atom_site_type_symbol
_atom_site_fract_x
_atom_site_fract_y
_atom_site_fract_z
_atom_site_occupancy
Bi1 Bi 0.1818 0.8425 0.3393 1
Bi2 Bi 0.8425 0.6607 0.5032 1
Bi3 Bi 0.4968 0.1575 0.3393 1
Bi4 Bi 0.6607 0.5032 0.8425 1
Bi5 Bi 0.1575 0.6607 0.8182 1
Bi6 Bi 0.5032 0.8425 0.6607 1
Bi7 Bi 0.3393 0.4968 0.1575 1
Bi8 Bi 0.1575 0.3393 0.4968 1
Bi9 Bi 0.8182 0.1575 0.6607 1
Bi10 Bi 0.6607 0.8182 0.1575 1
Bi11 Bi 0.3393 0.1818 0.8425 1
Bi12 Bi 0.8425 0.3393 0.1818 1
Pt1 Pt 0.5000 0.0000 0.0000 1
Pt2 Pt 0.0000 0.5000 0.0000 1
Pt3 Pt 0.5000 0.5000 0.5000 1
Pt4 Pt 0.0000 0.0000 0.5000 1
Hg1 Hg 0.0000 0.0000 0.0000 1
```

SG = No. 204
Formation enthalpy at 0 K = -0.172 eV per atom
Magnetization = 0.00 μB/cell

=====

A plane-wave DFT calculation with PBE-GGA was carried out for Na3LaW after structural relaxation.

Geometry as CIF:
```
data_Na3LaW
_chemical_formula_sum 'Na3 La1 W1'
_cell_length_a 5.3636
_cell_length_b 5.3636
_cell_length_c 5.3636
_cell_angle_alpha 90.00
_cell_angle_beta 90.00
_cell_angle_gamma 90.00
_symmetry_space_group_name_H-M 'P 1'
_symmetry_Int_Tables_number 1
loop_
_symmetry_equiv_pos_as_xyz
'x,y,z'
loop_
_atom_site_label
_atom_site_type_symbol
_atom_site_fract_x
_atom_site_fract_y
_atom_site_fract_z
_atom_site_occupancy
Na1 Na 0.5000 0.0000 0.0000 1
Na2 Na 0.0000 0.5000 0.0000 1
Na3 Na 0.0000 0.0000 0.5000 1
La1 La 0.5000 0.5000 0.5000 1
W1 W 0.0000 0.0000 0.0000 1
```

SG = No. 221
Formation enthalpy at 0 K = 1.593 eV per atom
Magnetization = 2.83 μB/cell

=====

A plane-wave DFT calculation with PBE-GGA was carried out for Rb2UGeO6 after structural relaxation.

Geometry as CIF:
```
data_Rb2UGeO6
_chemical_formula_sum 'Rb2 U1 Ge1 O6'
_cell_length_a 5.8074
_cell_length_b 5.8074
_cell_length_c 5.8074
_cell_angle_alpha 60.00
_cell_angle_beta 60.00
_cell_angle_gamma 89.99
_symmetry_space_group_name_H-M 'P 1'
_symmetry_Int_Tables_number 1
loop_
_symmetry_equiv_pos_as_xyz
'x,y,z'
loop_
_atom_site_label
_atom_site_type_symbol
_atom_site_fract_x
_atom_site_fract_y
_atom_site_fract_z
_atom_site_occupancy
O1 O 0.7420 0.7420 0.0000 1
O2 O 0.2580 0.2580 0.0000 1
O3 O 0.2580 0.2580 0.4840 1
O4 O 0.2581 0.7419 0.0000 1
O5 O 0.7419 0.2581 0.0000 1
O6 O 0.7420 0.7420 0.5160 1
Ge1 Ge 0.5000 0.5000 0.0000 1
U1 U 0.0000 0.0000 0.0000 1
Rb1 Rb 0.2500 0.7500 0.5000 1
Rb2 Rb 0.7500 0.2500 0.5000 1
```

SG = No. 225
VASP energy = -6.967 eV per atom
Magnetization = 0.00 μB/cell

=====

Copy entry 6 word for word.
A plane-wave DFT calculation with PBE-GGA was carried out for HgBi12Pt4 after structural relaxation.

Geometry as CIF:
```
data_HgBi12Pt4
_chemical_formula_sum 'Hg1 Bi12 Pt4'
_cell_length_a 8.6567
_cell_length_b 8.6567
_cell_length_c 8.6567
_cell_angle_alpha 109.47
_cell_angle_beta 109.47
_cell_angle_gamma 109.47
_symmetry_space_group_name_H-M 'P 1'
_symmetry_Int_Tables_number 1
loop_
_symmetry_equiv_pos_as_xyz
'x,y,z'
loop_
_atom_site_label
_atom_site_type_symbol
_atom_site_fract_x
_atom_site_fract_y
_atom_site_fract_z
_atom_site_occupancy
Bi1 Bi 0.1818 0.8425 0.3393 1
Bi2 Bi 0.8425 0.6607 0.5032 1
Bi3 Bi 0.4968 0.1575 0.3393 1
Bi4 Bi 0.6607 0.5032 0.8425 1
Bi5 Bi 0.1575 0.6607 0.8182 1
Bi6 Bi 0.5032 0.8425 0.6607 1
Bi7 Bi 0.3393 0.4968 0.1575 1
Bi8 Bi 0.1575 0.3393 0.4968 1
Bi9 Bi 0.8182 0.1575 0.6607 1
Bi10 Bi 0.6607 0.8182 0.1575 1
Bi11 Bi 0.3393 0.1818 0.8425 1
Bi12 Bi 0.8425 0.3393 0.1818 1
Pt1 Pt 0.5000 0.0000 0.0000 1
Pt2 Pt 0.0000 0.5000 0.0000 1
Pt3 Pt 0.5000 0.5000 0.5000 1
Pt4 Pt 0.0000 0.0000 0.5000 1
Hg1 Hg 0.0000 0.0000 0.0000 1
```

SG = No. 204
Formation enthalpy at 0 K = -0.172 eV per atom
Magnetization = 0.00 μB/cell